Record 1
! PBE MgIrAu, optimized geometry; values from VASP
! ΔE_f   -107 meV/atom
! Density of states at the Fermi level   5.9 states/eV/cell
! Relative energy among the computed polymorphs   11 kJ/mol of formula units
! Space-group type   I4mm
&SYSTEM
  ibrav = 0, nat = 6, ntyp = 3
/
ATOMIC_SPECIES
Mg 24.30 Mg.upf
Ir 192.22 Ir.upf
Au 196.97 Au.upf
ATOMIC_POSITIONS crystal
Mg 0.0000 0.0000 0.0000
Mg 0.5000 0.5000 0.5000
Ir 0.0000 0.0000 0.6525
Ir 0.5000 0.5000 0.1525
Au 0.0000 0.0000 0.3261
Au 0.5000 0.5000 0.8261
CELL_PARAMETERS angstrom
2.8519 0.0000 0.0000
0.0000 2.8519 0.0000
0.0000 0.0000 12.0938

---

Record 2
! PBE TaBRh6, optimized geometry; values from VASP
! ΔE_f   -78 meV/atom
! Density of states at the Fermi level   9.6 states/eV/cell
! Space-group type   R-3m
&SYSTEM
  ibrav = 0, nat = 8, ntyp = 3
/
ATOMIC_SPECIES
Ta 180.95 Ta.upf
B 10.81 B.upf
Rh 102.91 Rh.upf
ATOMIC_POSITIONS crystal
Ta 0.0000 0.0000 0.0000
B 0.5000 0.5000 0.5000
Rh 0.2085 0.2085 0.5962
Rh 0.2085 0.5962 0.2085
Rh 0.4038 0.7915 0.7915
Rh 0.5962 0.2085 0.2085
Rh 0.7915 0.4038 0.7915
Rh 0.7915 0.7915 0.4038
CELL_PARAMETERS angstrom
3.8297 2.2111 2.2972
-3.8297 2.2111 2.2972
0.0000 -4.4221 2.2972

---

Record 3
! PBE Be2AlI, optimized geometry; values from VASP
! Density of states at the Fermi level   9.0 states/eV/cell
! Relative energy among the computed polymorphs   149 kJ/mol of formula units
! Space-group type   Fm-3m
! Formation energy (no corrections)   1103 meV/atom
&SYSTEM
  ibrav = 0, nat = 16, ntyp = 3
/
ATOMIC_SPECIES
Be 9.01 Be.upf
Al 26.98 Al.upf
I 126.90 I.upf
ATOMIC_POSITIONS crystal
Be 0.2500 0.2500 0.2500
Be 0.2500 0.2500 0.7500
Be 0.2500 0.7500 0.2500
Be 0.2500 0.7500 0.7500
Be 0.7500 0.2500 0.2500
Be 0.7500 0.2500 0.7500
Be 0.7500 0.7500 0.2500
Be 0.7500 0.7500 0.7500
Al 0.0000 0.0000 0.0000
Al 0.0000 0.5000 0.5000
Al 0.5000 0.0000 0.5000
Al 0.5000 0.5000 0.0000
I 0.0000 0.0000 0.5000
I 0.0000 0.5000 0.0000
I 0.5000 0.0000 0.0000
I 0.5000 0.5000 0.5000
CELL_PARAMETERS angstrom
6.4899 0.0000 0.0000
0.0000 6.4899 0.0000
0.0000 0.0000 6.4899